No. 1
VASP calculation (PBEsol) on crystalline Pr3Co4Sn13 at its relaxed geometry.

Lattice parameters (Å, degrees): 9.4973 9.4973 9.4973 90.00 90.00 90.00
Last column: nearest neighbours and their distance in Å.
Space group Pm-3n (No. 223)
Symmetry-distinct sites (fractional):
Pr1 0.0000 0.2500 0.5000 (multiplicity 6)  12 Sn 3.29-3.38, 4 Co 3.36
Co1 0.2500 0.2500 0.2500 (multiplicity 8)  6 Sn 2.58
Sn1 0.0000 0.0000 0.0000 (multiplicity 2)  12 Sn 3.23
Sn2 0.0000 0.3019 0.1578 (multiplicity 24)  2 Co 2.58

- calculated formation energy (eV/atom) = -0.4313

=====

No. 2
VASP calculation (PBEsol) on crystalline Ga2CoO4 at its relaxed geometry.

Lattice parameters (Å, degrees): 8.3343 8.3343 8.3343 90.00 90.00 90.00
Last column: nearest neighbours and their distance in Å.
Space group Fd-3m (No. 227, origin choice 2)
Symmetry-distinct sites (fractional):
Ga1 0.0000 0.0000 0.0000 (multiplicity 16)  6 O 2.00
Co1 0.1250 0.1250 0.6250 (multiplicity 8)  4 O 1.96
O1 0.0108 0.0108 0.2392 (multiplicity 32)  1 Co 1.96, 3 Ga 2.00

- formation energy from raw total energies (eV/atom) = -1.52
- distance to the lowest polymorph of the same formula (meV/atom) = 4.6

=====

No. 3
VASP calculation (PBEsol) on crystalline Li2Ca2Cd at its relaxed geometry.

Lattice parameters (Å, degrees): 3.8411 3.8411 18.6747 90.00 90.00 90.00
Last column: nearest neighbours and their distance in Å.
Space group I4/mmm (No. 139)
Symmetry-distinct sites (fractional):
Li1 0.0000 0.5000 0.2500 (multiplicity 4)  4 Li 2.72
Ca1 0.0000 0.0000 0.0971 (multiplicity 4)  4 Cd 3.27, 4 Li 3.44, 1 Ca 3.63
Cd1 0.0000 0.0000 0.5000 (multiplicity 2)  8 Ca 3.27

- calculated formation energy (eV/atom) = -0.0694
- distance to the lowest polymorph of the same formula (meV/atom) = 7.7

=====

No. 4
VASP calculation (PBEsol) on crystalline KIn5 at its relaxed geometry.

Lattice parameters (Å, degrees): 5.1922 3.3696 19.1885 90.00 90.00 90.00
Last column: nearest neighbours and their distance in Å.
Space group Amm2 (No. 38)
Symmetry-distinct sites (fractional):
K1 0.0000 0.0000 0.0000 (multiplicity 2)  2 K 3.37, 8 In 3.49-3.75
In1 0.0000 0.0000 0.3255 (multiplicity 2)  10 In 3.15-3.37
In2 0.0000 0.0000 0.6792 (multiplicity 2)  10 In 3.08-3.37
In3 0.5000 0.0000 0.2325 (multiplicity 2)  12 In 3.15-3.37
In4 0.5000 0.0000 0.5926 (multiplicity 2)  6 In 3.08-3.37
In5 0.5000 0.0000 0.8782 (multiplicity 2)  8 In 3.26-3.37, 2 K 3.49

- calculated formation energy (eV/atom) = -0.0360
- distance to the lowest polymorph of the same formula (meV/atom) = 0.0

=====

No. 5
VASP calculation (PBEsol) on crystalline MnFe at its relaxed geometry.

Lattice parameters (Å, degrees): 5.5432 5.5432 5.5432 90.00 90.00 90.00
Last column: nearest neighbours and their distance in Å.
Space group Fd-3m (No. 227, origin choice 2)
Symmetry-distinct sites (fractional):
Mn1 0.1250 0.1250 0.1250 (multiplicity 8)  4 Mn 2.40, 4 Fe 2.40
Fe1 0.1250 0.1250 0.6250 (multiplicity 8)  4 Mn 2.40, 4 Fe 2.40

- calculated formation energy (eV/atom) = 0.1450

=====

No. 6
VASP calculation (PBEsol) on crystalline Sc5Ni at its relaxed geometry.

Lattice parameters (Å, degrees): 3.5120 14.5437 4.8377 90.00 90.00 90.00
Last column: nearest neighbours and their distance in Å.
Space group Cmmm (No. 65)
Symmetry-distinct sites (fractional):
Sc1 0.0000 0.0000 0.0000 (multiplicity 2)  4 Ni 2.99, 8 Sc 3.04-3.17
Sc2 0.0000 0.1406 0.5000 (multiplicity 4)  2 Ni 2.70
Sc3 0.0000 0.3296 0.0000 (multiplicity 4)  8 Sc 2.91-3.04
Ni1 0.0000 0.5000 0.5000 (multiplicity 2)  8 Sc 2.70-2.99

- calculated formation energy (eV/atom) = -0.0180
- distance to the lowest polymorph of the same formula (meV/atom) = 115.5

=====

Here are the calculated final energy numbers, same order: -221.00 -368.71 -19.49 -32.53 -147.48 -78.58 (eV per cell).